Entry 1:
A plane-wave DFT calculation with PBE-GGA was carried out for an optimized crystal structure of Ga3CuCl.

abc: 4.7794 4.7794 4.7794
angles: 90.00 90.00 90.00
With the nearest neighbours (Å) after each atom.
Sites, in units of the cell vectors:
Ga  0.0000  0.5000  0.0000  2 Cu 2.39
Cl  0.5000  0.5000  0.5000  12 Ga 3.38
Ga  0.0000  0.0000  0.5000  2 Cu 2.39
Ga  0.5000  0.0000  0.0000  2 Cu 2.39
Cu  0.0000  0.0000  0.0000  6 Ga 2.39

Calculated values
The distance to the lowest polymorph of the same formula is 0 meV per atom. The symmetry is Pm-3m (221). The uncorrected formation energy is -146 meV/atom.

***

Entry 2:
A plane-wave DFT calculation with PBE-GGA was carried out for an optimized crystal structure of Ru2PbW.

abc: 4.0782 2.9691 6.4405
angles: 62.74 90.00 90.00
With the nearest neighbours (Å) after each atom.
Sites, in units of the cell vectors:
Pb  0.5000  0.7218  0.7731  6 Ru 2.85-2.88, 2 Pb 2.97, 2 W 3.12
Ru  0.0000  0.9925  0.0110  1 W 2.46
W  0.0000  0.5227  0.4400  3 Ru 2.46-2.57
Ru  0.5000  0.2629  0.2760  4 W 2.57-2.82, 1 Pb 2.85

Calculated values
The calculation puts the energy relative to the elements at 0.557 eV per atom. The symmetry is Pm (6).

***

Entry 3:
A plane-wave DFT calculation with PBE-GGA was carried out for an optimized crystal structure of Dy2ScCu4.

abc: 4.9552 4.9552 6.7200
angles: 111.63 111.63 90.00
With the nearest neighbours (Å) after each atom.
Sites, in units of the cell vectors:
Cu  0.8896  0.3896  0.7792  1 Cu 2.53, 2 Dy 2.75, 2 Sc 2.78
Dy  0.2851  0.2851  0.5702  4 Cu 2.75
Cu  0.3896  0.8896  0.7792  1 Cu 2.53, 2 Dy 2.75, 2 Sc 2.78
Cu  0.6104  0.1104  0.2208  1 Cu 2.53, 2 Dy 2.75, 2 Sc 2.78
Dy  0.7149  0.7149  0.4298  4 Cu 2.75
Cu  0.1104  0.6104  0.2208  1 Cu 2.53, 2 Dy 2.75, 2 Sc 2.78
Sc  0.0000  0.0000  0.0000  8 Cu 2.78

Calculated values
The calculation puts the energy relative to the elements at -0.036 eV per atom. The symmetry is I4/mmm (139).

***

Entry 4:
A plane-wave DFT calculation with PBE-GGA was carried out for an optimized crystal structure of SrNi2GeC.

abc: 4.7430 5.7000 4.7430
angles: 90.00 90.00 90.00
With the nearest neighbours (Å) after each atom.
Sites, in units of the cell vectors:
Ge  0.0000  0.5000  0.0000  2 Sr 2.85
C  0.5000  0.5000  0.5000  4 Ge 3.35, 8 Ni 3.71
Sr  0.0000  0.0000  0.0000  4 Ni 2.37
Ni  0.0000  0.0000  0.5000  2 Sr 2.37
Ni  0.5000  0.0000  0.0000  2 Sr 2.37

Calculated values
The calculation puts the energy relative to the elements at 2.869 eV per atom. The symmetry is P4/mmm (123).

***

no.,total DFT energy (no corrections) (eV per atom),D(E_F) (states/eV per cell)
1,-3.150,1.48
2,-8.246,4.96
3,-4.596,6.08
4,-2.548,6.02